This record from OQMD describes a relaxed structure of Li4PaTlO6. The functional is PBE.

Summary:
* total DFT energy (no corrections): -144.67 eV/cell
* spin magnetization: 0.00 μB per formula unit

a = 5.5008 Å, b = 9.6288 Å, c = 5.3542 Å
α = 90.00°, β = 108.91°, γ = 90.00°
Space group C2 (No. 5)
Unique sites:
Li 0.0000 0.0000 0.0000 (multiplicity 2)
Li 0.0000 0.1320 0.5000 (multiplicity 2)
Li 0.0000 0.5191 0.5000 (multiplicity 2)
Li 0.0000 0.8481 0.5000 (multiplicity 2)
Pa 0.0000 0.3350 0.0000 (multiplicity 2)
Tl 0.0000 0.6695 0.0000 (multiplicity 2)
O 0.2388 0.1703 0.2554 (multiplicity 4)
O 0.2489 0.8442 0.2440 (multiplicity 4)
O 0.2500 0.4971 0.2533 (multiplicity 4)


This record from OQMD describes a relaxed structure of GdAl2Ga. The functional is PBE.

Summary:
* total DFT energy (no corrections): -68.39 eV/cell
* spin magnetization: 0.00 μB per formula unit

a = 6.3122 Å, b = 11.0561 Å, c = 4.5580 Å
α = 90.00°, β = 90.00°, γ = 90.00°
Space group Cmcm (No. 63)
Unique sites:
Gd 0.0000 0.1690 0.2500 (multiplicity 4)
Al 0.2187 0.4303 0.2500 (multiplicity 8)
Ga 0.0000 0.3527 0.7500 (multiplicity 4)


This record from OQMD describes a relaxed structure of ErUB. The functional is PBE.

Summary:
* total DFT energy (no corrections): -84.54 eV/cell
* spin magnetization: 1.98 μB per formula unit

a = 6.2164 Å, b = 6.2164 Å, c = 6.2164 Å
α = 90.00°, β = 90.00°, γ = 90.00°
Space group F-43m (No. 216)
Unique sites:
Er 0.0000 0.0000 0.0000 (multiplicity 4)
U 0.0000 0.0000 0.5000 (multiplicity 4)
B 0.2500 0.2500 0.2500 (multiplicity 4)